Entry 1:
RhAu5, single point on PBEsol structure, DFT SCAN; total moment = 0.7 μB per cell; energy of formation from the pure elements = 0.09 eV per atom; V = 98.1 Å³/f.u.; uncorrected energy = -4.6430 Ry/atom; ΔE to the lowest computed polymorph = 0.0 meV/atom
1.0
2.801 0.000 0.001
-1.400 5.362 -0.008
0.002 -1.966 6.538
Au Rh
5 1
direct
0.005 0.009 0.000
0.331 0.662 0.675
0.056 0.112 0.614
0.667 0.336 0.333
0.386 0.772 0.270
0.722 0.443 0.943



Entry 2:
RhAu5, single point on PBEsol structure, DFT SCAN; total moment = 0.6 μB per cell; energy of formation from the pure elements = 0.09 eV per atom; V = 98.1 Å³/f.u.; uncorrected energy = -4.6426 Ry/atom; ΔE to the lowest computed polymorph = 6.0 meV/atom
1.0
2.799 0.000 0.000
0.000 4.746 0.000
-1.399 0.000 7.385
Au Rh
5 1
direct
0.447 0.500 0.895
0.001 0.000 0.003
0.664 0.000 0.328
0.774 0.500 0.549
0.334 0.000 0.668
0.112 0.500 0.224



Entry 3:
Ru2RhAu, single point on PBEsol structure, DFT SCAN; total moment = 1.8 μB per cell; energy of formation from the pure elements = 0.38 eV per atom; V = 58.5 Å³/f.u.; uncorrected energy = -3.1430 Ry/atom; ΔE to the lowest computed polymorph = 125.7 meV/atom
1.0
2.677 0.000 0.000
-1.294 2.344 0.000
0.000 0.000 9.318
Rh Ru Au
1 2 1
direct
0.500 0.500 0.238
0.000 0.000 0.998
0.500 0.500 0.765
0.000 0.000 0.499



Entry 4:
Ru2RhAu, single point on PBEsol structure, DFT SCAN; total moment = 0.0 μB per cell; energy of formation from the pure elements = 0.26 eV per atom; V = 56.9 Å³/f.u.; uncorrected energy = -3.1522 Ry/atom; ΔE to the lowest computed polymorph = 0.0 meV/atom
1.0
-0.440 -2.328 1.306
2.053 -1.700 0.463
2.152 2.740 8.413
Rh Ru Au
1 2 1
direct
0.000 0.000 0.000
0.254 0.254 0.237
0.746 0.746 0.763
0.500 0.500 0.500



Entry 5:
RhAuS3, single point on PBEsol structure, DFT SCAN; raw formation energy = 1.171 eV/atom; total moment = 3.7 μB per cell; V = 103.4 Å³/f.u.; uncorrected energy = -1.8516 Ry/atom
1.0
-3.325 3.206 0.837
-1.716 -0.652 -4.320
-2.835 -3.366 1.633
S Au Rh
3 1 1
direct
0.000 0.500 0.000
0.500 0.000 0.000
0.000 0.000 0.500
0.000 0.000 0.000
0.500 0.500 0.500



Entry 6:
SbRh2Au, single point on PBEsol structure, DFT SCAN; raw formation energy = -0.114 eV/atom; total moment = 0.0 μB per cell; V = 63.4 Å³/f.u.; uncorrected energy = -3.2049 Ry/atom
1.0
-2.447 -2.199 -1.626
-0.080 -2.413 3.383
-3.097 2.291 1.561
Au Rh Sb
1 2 1
direct
0.500 0.500 0.125
0.000 0.000 0.125
0.000 0.500 0.625
0.500 0.000 0.625



Entry 7:
SbRh2Au2, single point on PBEsol structure, DFT SCAN; raw formation energy = 0.232 eV/atom; total moment = 0.5 μB per cell; V = 90.0 Å³/f.u.; uncorrected energy = -3.5567 Ry/atom
1.0
-3.375 0.420 -1.375
-0.699 -3.545 0.631
-0.254 3.099 6.465
Au Rh Sb
2 2 1
direct
0.750 0.250 0.500
0.250 0.750 0.500
0.404 0.404 0.808
0.596 0.596 0.192
0.000 0.000 0.000



Entry 8:
Sc2RhAu, single point on PBEsol structure, DFT SCAN; total moment = 0.0 μB per cell; energy of formation from the pure elements = -0.25 eV per atom; V = 77.0 Å³/f.u.; uncorrected energy = -2.4330 Ry/atom
1.0
-2.089 2.232 -0.517
-1.122 0.442 -2.856
-7.906 -5.098 0.634
Sc Au Rh
2 1 1
direct
0.902 0.902 0.293
0.098 0.098 0.707
0.000 0.000 0.000
0.500 0.500 0.500



Entry 9:
Sc2RhAu, single point on PBEsol structure, DFT SCAN; total moment = 0.0 μB per cell; energy of formation from the pure elements = -0.69 eV per atom; V = 67.5 Å³/f.u.; uncorrected energy = -2.4649 Ry/atom
1.0
-0.896 4.101 -1.807
-4.101 1.921 0.614
-0.431 3.650 2.717
Au Sc Rh
1 2 1
direct
0.500 0.500 0.500
0.750 0.750 0.750
0.000 0.000 0.000
0.250 0.250 0.250



Entry 10:
Sc2RhAu, single point on PBEsol structure, DFT SCAN; total moment = 0.0 μB per cell; energy of formation from the pure elements = -1.09 eV per atom; V = 70.3 Å³/f.u.; uncorrected energy = -2.4947 Ry/atom
1.0
3.245 0.000 0.000
0.000 3.244 0.000
0.000 0.000 6.678
Au Sc Rh
1 2 1
direct
0.500 0.500 0.500
0.000 0.000 0.764
0.000 0.000 0.236
0.500 0.500 0.000



Entry 11:
Sc2Rh2Au, single point on PBEsol structure, DFT SCAN; total moment = 0.0 μB per cell; energy of formation from the pure elements = -0.91 eV per atom; V = 84.1 Å³/f.u.; uncorrected energy = -2.4946 Ry/atom
1.0
-2.481 -0.871 1.836
4.415 -0.526 5.716
-1.251 6.950 1.606
Au Rh Sc
2 4 4
direct
0.000 0.000 0.000
0.000 0.500 0.500
0.000 0.636 0.136
0.000 0.136 0.364
0.000 0.864 0.636
0.000 0.364 0.864
0.500 0.334 0.166
0.500 0.166 0.666
0.500 0.834 0.334
0.500 0.666 0.834



Entry 12:
ScRh2Au, single point on PBEsol structure, DFT SCAN; total moment = 0.0 μB per cell; energy of formation from the pure elements = -0.43 eV per atom; V = 62.5 Å³/f.u.; uncorrected energy = -2.8052 Ry/atom
1.0
2.848 0.008 0.000
-0.208 4.839 0.000
-1.320 -2.423 4.537
Rh Au Sc
2 1 1
direct
0.000 0.000 0.500
0.500 0.500 0.500
0.500 0.000 0.000
0.000 0.500 0.000



Entry 13:
ScRh2Au, single point on PBEsol structure, DFT SCAN; total moment = 0.0 μB per cell; energy of formation from the pure elements = -0.27 eV per atom; V = 63.1 Å³/f.u.; uncorrected energy = -2.7936 Ry/atom
1.0
2.898 0.000 0.000
1.449 2.510 0.000
1.449 0.837 8.676
Rh Sc Au
2 1 1
direct
0.245 0.245 0.265
0.755 0.755 0.735
0.500 0.500 0.500
0.000 0.000 0.000



Entry 14:
RhAuSe, single point on PBEsol structure, DFT SCAN; raw formation energy = -0.146 eV/atom; total moment = 0.0 μB per cell; V = 54.6 Å³/f.u.; uncorrected energy = -3.0243 Ry/atom
1.0
3.293 0.000 0.000
-1.646 2.852 0.000
0.000 0.000 5.812
Au Rh Se
1 1 1
direct
0.000 0.000 0.966
0.667 0.333 0.637
0.333 0.667 0.397



Entry 15:
Rh2AuSe, single point on PBEsol structure, DFT SCAN; raw formation energy = 0.081 eV/atom; total moment = 0.0 μB per cell; V = 61.0 Å³/f.u.; uncorrected energy = -2.8748 Ry/atom
1.0
2.953 0.000 0.000
1.477 2.558 0.000
1.477 0.853 8.078
Au Rh Se
1 2 1
direct
0.000 0.000 0.000
0.758 0.758 0.726
0.242 0.242 0.274
0.500 0.500 0.500



Entry 16:
RhAuSe2, single point on PBEsol structure, DFT SCAN; raw formation energy = 0.423 eV/atom; total moment = 0.0 μB per cell; V = 67.1 Å³/f.u.; uncorrected energy = -2.5981 Ry/atom
1.0
3.891 0.000 0.000
0.000 3.891 0.000
-1.946 -1.946 4.431
Au Se Rh
1 2 1
direct
0.500 0.500 0.000
0.000 0.000 0.000
0.750 0.250 0.500
0.250 0.750 0.500



Entry 17:
RhAuSe2, single point on PBEsol structure, DFT SCAN; raw formation energy = 0.589 eV/atom; total moment = 0.0 μB per cell; V = 68.4 Å³/f.u.; uncorrected energy = -2.5859 Ry/atom
1.0
-2.541 -3.754 -0.718
1.847 -4.164 0.562
-1.279 -2.618 3.546
Au Rh Se
1 1 2
direct
0.500 0.500 0.500
0.250 0.250 0.250
0.000 0.000 0.000
0.750 0.750 0.750



Entry 18:
Rh2AuSe, single point on PBEsol structure, DFT SCAN; raw formation energy = 0.352 eV/atom; total moment = 0.0 μB per cell; V = 61.5 Å³/f.u.; uncorrected energy = -2.8549 Ry/atom
1.0
4.429 0.000 0.000
2.215 3.836 0.000
2.215 1.279 3.617
Rh Au Se
2 1 1
direct
0.750 0.750 0.750
0.000 0.000 0.000
0.500 0.500 0.500
0.250 0.250 0.250



Entry 19:
RhAu2Se, single point on PBEsol structure, DFT SCAN; raw formation energy = 0.303 eV/atom; total moment = 0.0 μB per cell; V = 66.0 Å³/f.u.; uncorrected energy = -3.5087 Ry/atom
1.0
3.837 0.000 0.000
0.000 3.837 0.000
-1.919 -1.919 4.484
Rh Au Se
1 2 1
direct
0.500 0.500 0.000
0.250 0.750 0.500
0.750 0.250 0.500
0.000 0.000 0.000



Entry 20:
Rh2AuSe, single point on PBEsol structure, DFT SCAN; raw formation energy = 0.371 eV/atom; total moment = 0.0 μB per cell; V = 61.8 Å³/f.u.; uncorrected energy = -2.8535 Ry/atom
1.0
-2.587 0.277 1.121
-1.852 -0.977 -4.031
-0.008 -4.664 1.134
Au Rh Se
1 2 1
direct
0.000 0.500 0.500
0.000 0.000 0.000
0.500 0.000 0.500
0.500 0.500 0.000